## NpTlAgBr5 (PBE)

Data for a relaxed structure of NpTlAgBr5.

The value obtained for the density of states at the Fermi level is 22.53 states/eV per cell. The uncorrected formation energy comes out at -91.6 kJ/mol of atoms. As for the calculated total energy: -4.265 eV per atom.

The structure belongs to space group C2/c (No. 15); the cell edges are 9.497, 12.915 and 10.797 Å and the angles 90.00°, 113.45° and 90.00°. The distinct sites, in fractional coordinates, are Np at (0.000, 0.000, 0.000), Tl at (0.000, 0.357, 0.250), Ag at (0.000, 0.308, 0.750), Br at (0.000, 0.086, 0.250), Br at (0.124, 0.201, 0.606) and Br at (0.187, 0.442, 0.944).